Record 1
Compound: CdGaCl3
Source: the Alexandria database
Functional: PBE
Structure: optimized geometry

a = 4.9916 Å, b = 4.9916 Å, c = 4.9916 Å
α = 90.00°, β = 90.00°, γ = 90.00°
Closest atoms and distances in Å follow each position.
Space group Pm-3m (No. 221)
Unique sites:
1 Cd 0.0000 0.0000 0.0000 [1 per cell]  12 Cl 3.53
2 Ga 0.5000 0.5000 0.5000 [1 per cell]  6 Cl 2.50
3 Cl 0.0000 0.5000 0.5000 [3 per cell]  2 Ga 2.50

Calculated values
uncorrected formation energy: -0.580 eV/atom
spin magnetization: 0.0691 μB/atom
raw total energy: -2.477 eV/atom

Record 2
Compound: Cd3Ga2Cl8
Source: the Alexandria database
Functional: PBE
Structure: optimized geometry

a = 14.0784 Å, b = 7.9865 Å, c = 6.7430 Å
α = 90.00°, β = 92.11°, γ = 90.00°
Closest atoms and distances in Å follow each position.
Space group C2/m (No. 12)
Unique sites:
1 Cd 0.0000 0.0000 0.0000 [2 per cell]  6 Cl 2.66
2 Cd 0.0000 0.2538 0.5000 [4 per cell]  6 Cl 2.66-2.73
3 Ga 0.2098 0.5000 0.0244 [4 per cell]  3 Cl 2.77-2.86
4 Cl 0.1024 0.0000 0.3399 [4 per cell]  3 Cd 2.66-2.73
5 Cl 0.1065 0.2327 0.8328 [8 per cell]  2 Cd 2.66, 1 Ga 2.86
6 Cl 0.1078 0.5000 0.3680 [4 per cell]  2 Cd 2.66, 1 Ga 2.77

Calculated values
uncorrected formation energy: -0.961 eV/atom
spin magnetization: 0.0000 μB/atom
raw total energy: -2.774 eV/atom

Record 3
Compound: Cd3Ga5Cl12
Source: the Alexandria database
Functional: PBE
Structure: optimized geometry

a = 17.5562 Å, b = 17.5562 Å, c = 17.5562 Å
α = 90.00°, β = 90.00°, γ = 90.00°
Closest atoms and distances in Å follow each position.
Space group Ia-3d (No. 230)
Unique sites:
1 Cd 0.0000 0.2500 0.1250 [24 per cell]  8 Cl 3.57-3.67
2 Ga 0.0000 0.0000 0.0000 [16 per cell]  6 Cl 3.10
3 Ga 0.0000 0.2500 0.3750 [24 per cell]  4 Cl 2.21
4 Cl 0.0505 0.1612 0.9489 [96 per cell]  1 Ga 2.21

Calculated values
uncorrected formation energy: -0.775 eV/atom
spin magnetization: 0.0577 μB/atom
raw total energy: -2.777 eV/atom